a.
Density functional theory data (PBE-GGA) for an optimized crystal structure of TePd3F.

Lattice parameters (Å, degrees): 4.451 4.451 4.451 90.00 90.00 90.00
Atoms (fractional coordinates):
Te 0.500 0.500 0.500
Pd 0.000 0.500 0.000
Pd 0.000 0.000 0.500
Pd 0.500 0.000 0.000
F 0.000 0.000 0.000

- Crystal system: cubic



b.
Density functional theory data (PBE-GGA) for an optimized crystal structure of TePd3F.

Lattice parameters (Å, degrees): 4.999 4.999 4.999 90.00 90.00 90.00
Atoms (fractional coordinates):
Te 0.000 0.000 0.000
Pd 0.000 0.500 0.000
Pd 0.000 0.000 0.500
Pd 0.500 0.000 0.000
F 0.500 0.500 0.500

- Crystal system: cubic



a is favored, and the nearest alternative lies 244 meV per atom above it.



a.
Density functional theory data (PBE-GGA) for an optimized crystal structure of TePdF2.

Lattice parameters (Å, degrees): 8.402 8.402 8.402 21.07 21.07 21.07
Atoms (fractional coordinates):
Te 0.500 0.500 0.500
Pd 0.000 0.000 0.000
F 0.919 0.919 0.919
F 0.081 0.081 0.081

- Crystal system: trigonal



b.
Density functional theory data (PBE-GGA) for an optimized crystal structure of TePdF2.

Lattice parameters (Å, degrees): 7.779 7.779 6.057 50.05 50.05 90.00
Atoms (fractional coordinates):
Te 0.000 0.000 0.000
Te 0.750 0.250 0.500
Pd 0.500 0.500 0.000
Pd 0.250 0.750 0.500
F 0.740 0.125 0.250
F 0.010 0.625 0.250
F 0.375 0.260 0.750
F 0.875 0.990 0.750

- Crystal system: tetragonal



b is favored, and the nearest alternative lies 45 meV per atom above it.



a.
Density functional theory data (PBE-GGA) for an optimized crystal structure of TePdF2.

Lattice parameters (Å, degrees): 8.397 8.397 8.397 21.71 21.71 21.71
Atoms (fractional coordinates):
Te 0.000 0.000 0.000
Pd 0.500 0.500 0.500
F 0.915 0.915 0.915
F 0.085 0.085 0.085

- Crystal system: trigonal



b.
Density functional theory data (PBE-GGA) for an optimized crystal structure of TePdF2.

Lattice parameters (Å, degrees): 4.370 4.370 4.370 60.00 60.00 60.00
Atoms (fractional coordinates):
Te 0.500 0.500 0.500
Pd 0.000 0.000 0.000
F 0.250 0.250 0.250
F 0.750 0.750 0.750

- Crystal system: cubic



a is favored, and the nearest alternative lies 131 meV per atom above it.



a.
Density functional theory data (PBE-GGA) for an optimized crystal structure of Ti2PdF.

Lattice parameters (Å, degrees): 4.800 4.800 6.823 69.41 69.41 90.00
Atoms (fractional coordinates):
F 0.500 0.500 0.000
F 0.250 0.750 0.500
Pd 0.000 0.000 0.000
Pd 0.750 0.250 0.500
Ti 0.539 0.125 0.250
Ti 0.211 0.625 0.250
Ti 0.375 0.461 0.750
Ti 0.875 0.789 0.750

- Crystal system: tetragonal



b.
Density functional theory data (PBE-GGA) for an optimized crystal structure of Ti2PdF.

Lattice parameters (Å, degrees): 4.377 4.377 4.377 60.00 60.00 60.00
Atoms (fractional coordinates):
F 0.000 0.000 0.000
Pd 0.500 0.500 0.500
Ti 0.250 0.250 0.250
Ti 0.750 0.750 0.750

- Crystal system: cubic



a is favored, and the nearest alternative lies 56 meV per atom above it.



a.
Density functional theory data (PBE-GGA) for an optimized crystal structure of TlPdF4.

Lattice parameters (Å, degrees): 7.214 7.214 7.435 119.02 119.02 90.00
Atoms (fractional coordinates):
Tl 0.750 0.250 0.500
Pd 0.500 0.500 0.000
F 0.566 0.831 0.220
F 0.653 0.388 0.220
F 0.169 0.347 0.780
F 0.612 0.434 0.780

- Crystal system: tetragonal



b.
Density functional theory data (PBE-GGA) for an optimized crystal structure of TlPdF4.

Lattice parameters (Å, degrees): 5.869 5.473 7.899 69.75 61.36 90.02
Atoms (fractional coordinates):
Tl 0.750 0.229 0.000
Tl 0.250 0.771 0.000
Pd 0.500 0.500 0.500
Pd 0.000 0.000 0.500
F 0.289 0.463 0.794
F 0.212 0.257 0.206
F 0.711 0.537 0.206
F 0.788 0.743 0.794
F 0.223 0.175 0.585
F 0.277 0.760 0.415
F 0.777 0.825 0.415
F 0.723 0.240 0.585

- Crystal system: monoclinic



b is favored, and the nearest alternative lies 317 meV per atom above it.